(1)
Fe3CoPd12 | PBE | optimized geometry

a = 3.896 Å, b = 3.896 Å, c = 15.467 Å
α = 90.00°, β = 90.00°, γ = 90.00°
Space group P4/mmm (No. 123)
Inequivalent atoms, fractional coordinates:
Fe: 0.000 0.000 0.000 [1 per cell]
Fe: 0.000 0.000 0.253 [2 per cell]
Co: 0.000 0.000 0.500 [1 per cell]
Pd: 0.000 0.500 0.125 [4 per cell]
Pd: 0.000 0.500 0.375 [4 per cell]
Pd: 0.500 0.500 0.000 [1 per cell]
Pd: 0.500 0.500 0.250 [2 per cell]
Pd: 0.500 0.500 0.500 [1 per cell]

Results
Spin magnetization: 10.0 μB per cell
Energy: -95.62 eV for the cell shown
Crystal system: tetragonal
ΔE_f: -0.8 eV/f.u.
Density of states at the Fermi level: 18.62 states/eV per cell

---

(2)
DyYGaCo | PBE | optimized geometry

a = 6.971 Å, b = 6.971 Å, c = 6.971 Å
α = 90.00°, β = 90.00°, γ = 90.00°
Space group F-43m (No. 216)
Inequivalent atoms, fractional coordinates:
Dy: 0.000 0.000 0.000 [4 per cell]
Y: 0.000 0.000 0.500 [4 per cell]
Ga: 0.250 0.250 0.750 [4 per cell]
Co: 0.250 0.250 0.250 [4 per cell]

Results
Spin magnetization: 4.2 μB per cell
Energy: -90.01 eV for the cell shown
Crystal system: cubic
ΔE_f: -1.3 eV/f.u.
Density of states at the Fermi level: 10.56 states/eV per cell
Energy relative to the lowest polymorph listed for this composition: 0.065 eV/atom

---

(3)
LuTiIr | PBE | optimized geometry

a = 3.297 Å, b = 3.297 Å, c = 10.493 Å
α = 90.00°, β = 90.00°, γ = 90.00°
Space group I4mm (No. 107)
Inequivalent atoms, fractional coordinates:
Lu: 0.000 0.000 0.000 [2 per cell]
Ti: 0.000 0.000 0.705 [2 per cell]
Ir: 0.000 0.000 0.327 [2 per cell]

Results
Spin magnetization: 1.6 μB per cell
Energy: -45.57 eV for the cell shown
Crystal system: tetragonal
ΔE_f: -1.5 eV/f.u.
Density of states at the Fermi level: 8.19 states/eV per cell
Energy relative to the lowest polymorph listed for this composition: 0.000 eV/atom

---

(4)
Ba2Hg4Bi2Pb | PBE | optimized geometry

a = 7.391 Å, b = 7.391 Å, c = 11.411 Å
α = 90.00°, β = 90.00°, γ = 90.00°
Space group I4/mmm (No. 139)
Inequivalent atoms, fractional coordinates:
Ba: 0.000 0.500 0.250 [4 per cell]
Hg: 0.211 0.211 0.000 [8 per cell]
Bi: 0.000 0.000 0.218 [4 per cell]
Pb: 0.000 0.000 0.500 [2 per cell]

Results
Spin magnetization: 0.0 μB per cell
Energy: -40.06 eV for the cell shown
Crystal system: tetragonal
ΔE_f: -3.5 eV/f.u.
Density of states at the Fermi level: 7.12 states/eV per cell

---

(5)
GdHoBePd | PBE | optimized geometry

a = 6.972 Å, b = 6.972 Å, c = 6.972 Å
α = 90.00°, β = 90.00°, γ = 90.00°
Space group F-43m (No. 216)
Inequivalent atoms, fractional coordinates:
Gd: 0.000 0.000 0.000 [4 per cell]
Ho: 0.000 0.000 0.500 [4 per cell]
Be: 0.250 0.250 0.250 [4 per cell]
Pd: 0.250 0.250 0.750 [4 per cell]

Results
Spin magnetization: 28.2 μB per cell
Energy: -115.77 eV for the cell shown
Crystal system: cubic
ΔE_f: -1.4 eV/f.u.
Density of states at the Fermi level: 9.42 states/eV per cell

---

(6)
TbMg2Pb3 | PBE | optimized geometry

a = 4.752 Å, b = 9.831 Å, c = 7.000 Å
α = 90.00°, β = 90.00°, γ = 90.00°
Space group Pmc2_1 (No. 26)
Inequivalent atoms, fractional coordinates:
Tb: 0.000 0.058 0.000 [2 per cell]
Mg: 0.000 0.296 0.501 [2 per cell]
Mg: 0.500 0.500 0.248 [2 per cell]
Pb: 0.000 0.400 0.997 [2 per cell]
Pb: 0.500 0.165 0.727 [2 per cell]
Pb: 0.500 0.167 0.272 [2 per cell]

Results
Spin magnetization: 0.0 μB per cell
Energy: -40.20 eV for the cell shown
Crystal system: orthorhombic
ΔE_f: -1.2 eV/f.u.
Density of states at the Fermi level: 3.96 states/eV per cell
Energy relative to the lowest polymorph listed for this composition: 0.048 eV/atom